Crystalline LaTa2Tl at its relaxed geometry, computed with PBE.

abc: 7.1579 7.1579 7.1579
angles: 90.00 90.00 90.00
Closest atoms and distances in Å follow each position.
Fractional coordinates of all 16 atoms:
1 La 0.0000 0.0000 0.0000  4 Ta 3.10, 4 Tl 3.10
2 La 0.0000 0.5000 0.5000  4 Ta 3.10, 4 Tl 3.10
3 La 0.5000 0.0000 0.5000  4 Ta 3.10, 4 Tl 3.10
4 La 0.5000 0.5000 0.0000  4 Ta 3.10, 4 Tl 3.10
5 Ta 0.0000 0.0000 0.5000  4 Ta 3.10, 4 Tl 3.10
6 Ta 0.0000 0.5000 0.0000  4 Ta 3.10, 4 Tl 3.10
7 Ta 0.2500 0.2500 0.2500  4 Ta 3.10, 4 La 3.10
8 Ta 0.2500 0.7500 0.7500  4 Ta 3.10, 4 La 3.10
9 Ta 0.5000 0.0000 0.0000  4 Ta 3.10, 4 Tl 3.10
10 Ta 0.5000 0.5000 0.5000  4 Ta 3.10, 4 Tl 3.10
11 Ta 0.7500 0.2500 0.7500  4 Ta 3.10, 4 La 3.10
12 Ta 0.7500 0.7500 0.2500  4 Ta 3.10, 4 La 3.10
13 Tl 0.2500 0.2500 0.7500  4 Ta 3.10, 4 La 3.10
14 Tl 0.2500 0.7500 0.2500  4 Ta 3.10, 4 La 3.10
15 Tl 0.7500 0.2500 0.2500  4 Ta 3.10, 4 La 3.10
16 Tl 0.7500 0.7500 0.7500  4 La 3.10, 4 Ta 3.10

Summary:
Raw total energy = -115.2 eV per cell
Size of the total moment = 0.470 Bohr magnetons per cell
Crystal system = cubic